No. 1
# BeAs2SeS

BeAs2SeS after structural relaxation (GGA-PBEsol, the Alexandria database).

Results
uncorrected formation energy: 0.575 eV per atom
M_tot: 0.0 μB/f.u.
SG: P4/mmm (123)

a = 4.2810 Å, b = 4.5232 Å, c = 4.5232 Å
α = 90.00°, β = 90.00°, γ = 90.00°
Positions (direct):
S 0.5000 0.5000 0.5000
Be 0.0000 0.0000 0.0000
As 0.0000 0.5000 0.0000
As 0.0000 0.0000 0.5000
Se 0.5000 0.0000 0.0000

No. 2
# MgBeH3

MgBeH3 after structural relaxation (GGA-PBEsol, the Alexandria database).

Results
M_tot: 0.0 μB/f.u.
raw total energy: -2.9337 eV/atom
SG: Pm-3m (221)

a = 3.3361 Å, b = 3.3361 Å, c = 3.3361 Å
α = 90.00°, β = 90.00°, γ = 90.00°
Positions (direct):
H 0.0000 0.0000 0.5000
H 0.5000 0.0000 0.0000
H 0.0000 0.5000 0.0000
Mg 0.5000 0.5000 0.5000
Be 0.0000 0.0000 0.0000

No. 3
# Tl2Sn2Bi

Tl2Sn2Bi after structural relaxation (GGA-PBEsol, the Alexandria database).

Results
M_tot: 0.0 μB/f.u.
formation energy: 140 meV per atom
SG: I4/mmm (139)

a = 4.1515 Å, b = 4.1515 Å, c = 9.0842 Å
α = 103.21°, β = 103.21°, γ = 90.00°
Positions (direct):
Tl 0.4038 0.4038 0.8077
Tl 0.5962 0.5962 0.1923
Sn 0.7500 0.2500 0.5000
Sn 0.2500 0.7500 0.5000
Bi 0.0000 0.0000 0.0000